Version i
{
  "formula": "HoGa2Sn",
  "functional": "PBE-GGA",
  "state": "optimized geometry",
  "crystal_system": "trigonal",
  "space_group": "R-3m",
  "cell": [[4.805, 0.000, 0.000], [-2.403, 4.162, 0.000], [0.000, 0.000, 13.828]],
  "species": ["Ho", "Ho", "Ho", "Ga", "Ga", "Ga", "Ga", "Ga", "Ga", "Sn", "Sn", "Sn"],
  "frac_coords": [[0.000, 0.000, 0.000], [0.333, 0.667, 0.667], [0.667, 0.333, 0.333], [0.000, 0.000, 0.236], [0.000, 0.000, 0.764], [0.333, 0.667, 0.431], [0.333, 0.667, 0.902], [0.667, 0.333, 0.098], [0.667, 0.333, 0.569], [0.000, 0.000, 0.500], [0.333, 0.667, 0.167], [0.667, 0.333, 0.833]]
}

Version ii
{
  "formula": "HoGa2Sn",
  "functional": "PBE-GGA",
  "state": "optimized geometry",
  "crystal_system": "tetragonal",
  "space_group": "P4/mmm",
  "cell": [[3.687, 0.000, 0.000], [0.000, 3.687, 0.000], [0.000, 0.000, 6.561]],
  "species": ["Ho", "Ga", "Ga", "Sn"],
  "frac_coords": [[0.000, 0.000, 0.000], [0.500, 0.500, 0.271], [0.500, 0.500, 0.729], [0.000, 0.000, 0.500]]
}

Which of them is the most stable, and which is the least stable? version ii and version i, in that order.

Version i
{
  "formula": "Ho2Ga2Sn",
  "functional": "PBE-GGA",
  "state": "optimized geometry",
  "crystal_system": "tetragonal",
  "space_group": "P4/mbm",
  "cell": [[7.244, 0.000, 0.000], [0.000, 7.244, 0.000], [0.000, 0.000, 4.354]],
  "species": ["Ho", "Ho", "Ho", "Ho", "Ga", "Ga", "Ga", "Ga", "Sn", "Sn"],
  "frac_coords": [[0.173, 0.327, 0.000], [0.327, 0.827, 0.000], [0.673, 0.173, 0.000], [0.827, 0.673, 0.000], [0.123, 0.623, 0.500], [0.377, 0.123, 0.500], [0.623, 0.877, 0.500], [0.877, 0.377, 0.500], [0.000, 0.000, 0.500], [0.500, 0.500, 0.500]]
}

Version ii
{
  "formula": "Ho2Ga2Sn",
  "functional": "PBE-GGA",
  "state": "optimized geometry",
  "crystal_system": "orthorhombic",
  "space_group": "Cmmm",
  "cell": [[4.073, 0.000, 0.000], [0.000, 13.987, 0.000], [0.000, 0.000, 4.078]],
  "species": ["Ho", "Ho", "Ho", "Ho", "Ga", "Ga", "Ga", "Ga", "Sn", "Sn"],
  "frac_coords": [[0.000, 0.131, 0.000], [0.000, 0.869, 0.000], [0.500, 0.369, 0.000], [0.500, 0.631, 0.000], [0.000, 0.300, 0.500], [0.000, 0.700, 0.500], [0.500, 0.200, 0.500], [0.500, 0.800, 0.500], [0.000, 0.500, 0.500], [0.500, 0.000, 0.500]]
}

Which of them is the most stable, and which is the least stable? version i and version ii, in that order.

Version i
{
  "formula": "TbHoGaSn",
  "functional": "PBE-GGA",
  "state": "optimized geometry",
  "crystal_system": "cubic",
  "space_group": "F-43m",
  "cell": [[7.378, 0.000, 0.000], [0.000, 7.378, 0.000], [0.000, 0.000, 7.378]],
  "species": ["Tb", "Tb", "Tb", "Tb", "Ho", "Ho", "Ho", "Ho", "Ga", "Ga", "Ga", "Ga", "Sn", "Sn", "Sn", "Sn"],
  "frac_coords": [[0.000, 0.000, 0.000], [0.000, 0.500, 0.500], [0.500, 0.000, 0.500], [0.500, 0.500, 0.000], [0.000, 0.000, 0.500], [0.000, 0.500, 0.000], [0.500, 0.000, 0.000], [0.500, 0.500, 0.500], [0.250, 0.250, 0.750], [0.250, 0.750, 0.250], [0.750, 0.250, 0.250], [0.750, 0.750, 0.750], [0.250, 0.250, 0.250], [0.250, 0.750, 0.750], [0.750, 0.250, 0.750], [0.750, 0.750, 0.250]]
}

Version ii
{
  "formula": "TbHoGaSn",
  "functional": "PBE-GGA",
  "state": "optimized geometry",
  "crystal_system": "orthorhombic",
  "space_group": "Amm2",
  "cell": [[4.158, 0.000, 0.000], [0.000, 4.460, 0.000], [0.000, 0.000, 11.141]],
  "species": ["Tb", "Tb", "Ho", "Ho", "Ga", "Ga", "Sn", "Sn"],
  "frac_coords": [[0.000, 0.000, 0.000], [0.000, 0.500, 0.500], [0.500, 0.000, 0.278], [0.500, 0.500, 0.778], [0.500, 0.000, 0.548], [0.500, 0.500, 0.048], [0.000, 0.000, 0.716], [0.000, 0.500, 0.216]]
}

Which of them is the most stable, and which is the least stable? version ii and version i, in that order.

Version i
{
  "formula": "HoTmGaSn",
  "functional": "PBE-GGA",
  "state": "optimized geometry",
  "crystal_system": "cubic",
  "space_group": "F-43m",
  "cell": [[7.317, 0.000, 0.000], [0.000, 7.317, 0.000], [0.000, 0.000, 7.317]],
  "species": ["Ho", "Ho", "Ho", "Ho", "Tm", "Tm", "Tm", "Tm", "Ga", "Ga", "Ga", "Ga", "Sn", "Sn", "Sn", "Sn"],
  "frac_coords": [[0.000, 0.000, 0.000], [0.000, 0.500, 0.500], [0.500, 0.000, 0.500], [0.500, 0.500, 0.000], [0.000, 0.000, 0.500], [0.000, 0.500, 0.000], [0.500, 0.000, 0.000], [0.500, 0.500, 0.500], [0.250, 0.250, 0.750], [0.250, 0.750, 0.250], [0.750, 0.250, 0.250], [0.750, 0.750, 0.750], [0.250, 0.250, 0.250], [0.250, 0.750, 0.750], [0.750, 0.250, 0.750], [0.750, 0.750, 0.250]]
}

Version ii
{
  "formula": "HoTmGaSn",
  "functional": "PBE-GGA",
  "state": "optimized geometry",
  "crystal_system": "orthorhombic",
  "space_group": "Amm2",
  "cell": [[4.128, 0.000, 0.000], [0.000, 4.419, 0.000], [0.000, 0.000, 11.037]],
  "species": ["Ho", "Ho", "Tm", "Tm", "Ga", "Ga", "Sn", "Sn"],
  "frac_coords": [[0.000, 0.000, 0.000], [0.000, 0.500, 0.500], [0.500, 0.000, 0.278], [0.500, 0.500, 0.778], [0.500, 0.000, 0.547], [0.500, 0.500, 0.047], [0.000, 0.000, 0.717], [0.000, 0.500, 0.217]]
}

Which of them is the most stable, and which is the least stable? version ii and version i, in that order.